# 1
First-principles (PBE) data for a relaxed structure of Hf2HgBAu, as listed in the Alexandria database.

abc: 5.2718 3.9750 5.2718
angles: 90.00 90.00 90.00
Atoms (fractional coordinates):
Hf1 0.0000 0.0000 0.5000
Hf2 0.5000 0.0000 0.0000
B1 0.0000 0.5000 0.0000
Au1 0.0000 0.0000 0.0000
Hg1 0.5000 0.5000 0.5000

Results
DFT formation energy   0.750 eV/atom
D(E_F)   5.50 states/eV/cell

***

# 2
First-principles (PBE) data for a relaxed structure of IrPtCl2, as listed in the Alexandria database.

abc: 4.7290 4.7290 2.9875
angles: 90.00 90.00 101.50
Atoms (fractional coordinates):
Ir1 0.5000 0.0000 0.5000
Pt1 0.0000 0.5000 0.5000
Cl1 0.0000 0.0000 0.0000
Cl2 0.5000 0.5000 0.0000

Results
ΔE_f (raw)   1.14 eV/atom
D(E_F)   6.27 states/eV/cell
Excess energy over the best structure of this formula in the dataset   1.127 eV per atom

***

# 3
First-principles (PBE) data for a relaxed structure of Yb2MgS4, as listed in the Alexandria database.

abc: 8.6934 9.3747 8.7819
angles: 104.08 100.95 97.35
Atoms (fractional coordinates):
Yb1 0.8876 0.3535 0.6694
Yb2 0.1124 0.6465 0.3306
Yb3 0.6965 0.1901 0.0132
Yb4 0.3035 0.8099 0.9868
Yb5 0.6169 0.5189 0.3220
Yb6 0.3831 0.4811 0.6780
Yb7 0.6522 0.9976 0.3433
Yb8 0.3478 0.0024 0.6567
Mg1 0.8143 0.8517 0.6616
Mg2 0.1857 0.1483 0.3384
Mg3 0.7760 0.7090 0.9645
Mg4 0.2240 0.2910 0.0355
S1 0.8848 0.4842 0.0273
S2 0.1152 0.5158 0.9727
S3 0.0013 0.8927 0.9281
S4 0.9987 0.1073 0.0719
S5 0.7713 0.2881 0.3446
S6 0.2287 0.7119 0.6554
S7 0.8432 0.7841 0.3843
S8 0.1568 0.2159 0.6157
S9 0.6872 0.0867 0.6785
S10 0.3128 0.9133 0.3215
S11 0.6967 0.5874 0.6633
S12 0.3033 0.4126 0.3367
S13 0.6311 0.9095 0.0270
S14 0.3689 0.0905 0.9730
S15 0.4796 0.3816 0.9747
S16 0.5204 0.6184 0.0253

Results
ΔE_f (raw)   -1.50 eV/atom
D(E_F)   133.92 states/eV/cell
Excess energy over the best structure of this formula in the dataset   0.020 eV per atom

***

# 4
First-principles (PBE) data for a relaxed structure of Pm3NdPb, as listed in the Alexandria database.

abc: 8.8218 9.1915 9.7510
angles: 121.68 90.00 90.00
Atoms (fractional coordinates):
Pm1 0.0818 0.0820 0.2919
Pm2 0.9182 0.9180 0.7081
Pm3 0.5818 0.9180 0.2081
Pm4 0.4182 0.0820 0.7919
Pm5 0.5638 0.7185 0.4311
Pm6 0.4362 0.2815 0.5689
Pm7 0.0638 0.2815 0.0689
Pm8 0.9362 0.7185 0.9311
Pm9 0.1956 0.5882 0.5453
Pm10 0.8044 0.4118 0.4547
Pm11 0.6956 0.4118 0.9547
Pm12 0.3044 0.5882 0.0453
Nd1 0.9362 0.7122 0.2888
Nd2 0.0638 0.2878 0.7112
Nd3 0.4362 0.2878 0.2112
Nd4 0.5638 0.7122 0.7888
Pb1 0.2501 0.9046 0.4537
Pb2 0.7499 0.0954 0.5463
Pb3 0.7501 0.0954 0.0463
Pb4 0.2499 0.9046 0.9537

Results
DFT formation energy   -0.166 eV/atom
D(E_F)   22.84 states/eV/cell

***

# 5
First-principles (PBE) data for a relaxed structure of ScSbI2Br, as listed in the Alexandria database.

abc: 5.5218 5.5218 5.9603
angles: 90.00 90.00 90.00
Atoms (fractional coordinates):
I1 0.0000 0.5000 0.0000
I2 0.5000 0.0000 0.0000
Sb1 0.0000 0.0000 0.5000
Sc1 0.0000 0.0000 0.0000
Br1 0.5000 0.5000 0.5000

Results
ΔE_f (raw)   -0.36 eV/atom
D(E_F)   3.74 states/eV/cell
Excess energy over the best structure of this formula in the dataset   0.000 eV per atom

***

# 6
First-principles (PBE) data for a relaxed structure of Ca2Mg, as listed in the Alexandria database.

abc: 7.9237 7.9884 8.2358
angles: 90.00 118.75 90.00
Atoms (fractional coordinates):
Ca1 0.3400 0.6642 0.0000
Ca2 0.6600 0.3358 0.0000
Ca3 0.1600 0.1642 0.0000
Ca4 0.8400 0.8358 0.0000
Ca5 0.4702 0.7500 0.5000
Ca6 0.0298 0.2500 0.5000
Ca7 0.5298 0.2500 0.5000
Ca8 0.9702 0.7500 0.5000
Mg1 0.6092 0.0000 0.2184
Mg2 0.1092 0.5000 0.2184
Mg3 0.3908 0.0000 0.7816
Mg4 0.8908 0.5000 0.7816

Results
DFT formation energy   0.078 eV/atom
D(E_F)   11.82 states/eV/cell

***

# 7
First-principles (PBE) data for a relaxed structure of Sr2Li2MgIn5, as listed in the Alexandria database.

abc: 4.3446 10.8662 10.8662
angles: 90.00 90.00 90.00
Atoms (fractional coordinates):
Sr1 0.0000 0.6829 0.1829
Sr2 0.0000 0.3171 0.8171
Sr3 0.0000 0.1829 0.3171
Sr4 0.0000 0.8171 0.6829
Li1 0.0000 0.1137 0.6137
Li2 0.0000 0.8863 0.3863
Li3 0.0000 0.6137 0.8863
Li4 0.0000 0.3863 0.1137
Mg1 0.0000 0.0000 0.0000
Mg2 0.0000 0.5000 0.5000
In1 0.5000 0.2022 0.0553
In2 0.5000 0.7978 0.9447
In3 0.5000 0.0553 0.7978
In4 0.5000 0.7022 0.4447
In5 0.5000 0.9447 0.2022
In6 0.5000 0.2978 0.5553
In7 0.5000 0.5553 0.7022
In8 0.5000 0.4447 0.2978
In9 0.5000 0.5000 0.0000
In10 0.5000 0.0000 0.5000

Results
DFT formation energy   -0.318 eV/atom
D(E_F)   7.81 states/eV/cell

***

# 8
First-principles (PBE) data for a relaxed structure of MgRh4, as listed in the Alexandria database.

abc: 4.6078 5.3444 4.6078
angles: 115.54 90.00 115.54
Atoms (fractional coordinates):
Mg1 0.0000 0.0000 0.0000
Rh1 0.2500 0.5000 0.7500
Rh2 0.7500 0.5000 0.2500
Rh3 0.6421 0.2843 0.6421
Rh4 0.3579 0.7157 0.3579

Results
DFT formation energy   0.298 eV/atom
D(E_F)   7.20 states/eV/cell
Excess energy over the best structure of this formula in the dataset   0.477 eV per atom

***

# 9
First-principles (PBE) data for a relaxed structure of SrS2ClF, as listed in the Alexandria database.

abc: 6.0621 6.0621 5.4728
angles: 90.00 90.00 90.00
Atoms (fractional coordinates):
Sr1 0.0000 0.0000 0.0000
S1 0.0000 0.5000 0.0000
S2 0.5000 0.0000 0.0000
F1 0.5000 0.5000 0.5000
Cl1 0.0000 0.0000 0.5000

Results
ΔE_f (raw)   -0.23 eV/atom
D(E_F)   7.51 states/eV/cell
Excess energy over the best structure of this formula in the dataset   0.587 eV per atom

***

# 10
First-principles (PBE) data for a relaxed structure of Zn2GaGe4, as listed in the Alexandria database.

abc: 4.9253 4.9253 7.3690
angles: 70.48 70.48 90.00
Atoms (fractional coordinates):
Ge1 0.7927 0.7927 0.4147
Ge2 0.2073 0.2073 0.5853
Ge3 0.0000 0.5000 0.0000
Ge4 0.5000 0.0000 0.0000
Zn1 0.6037 0.6037 0.7925
Zn2 0.3963 0.3963 0.2075
Ga1 0.0000 0.0000 0.0000

Results
DFT formation energy   0.552 eV/atom
D(E_F)   3.21 states/eV/cell

***

# 11
First-principles (PBE) data for a relaxed structure of Ce3MnB2Pt9, as listed in the Alexandria database.

abc: 5.7680 5.7680 9.4288
angles: 90.00 90.00 120.00
Atoms (fractional coordinates):
Ce1 0.3333 0.6667 0.6101
Ce2 0.0000 0.0000 0.0000
Ce3 0.6667 0.3333 0.3899
Mn1 0.0000 0.0000 0.5000
B1 0.3333 0.6667 0.1487
B2 0.6667 0.3333 0.8513
Pt1 0.8345 0.1655 0.7122
Pt2 0.8345 0.6689 0.7122
Pt3 0.3311 0.1655 0.7122
Pt4 0.6689 0.8345 0.2878
Pt5 0.1655 0.3311 0.2878
Pt6 0.1655 0.8345 0.2878
Pt7 0.5000 0.0000 0.0000
Pt8 0.0000 0.5000 0.0000
Pt9 0.5000 0.5000 0.0000

Results
DFT formation energy   -0.716 eV/atom
D(E_F)   22.03 states/eV/cell

***

# 12
First-principles (PBE) data for a relaxed structure of RbCeMgS4, as listed in the Alexandria database.

abc: 7.2218 5.4618 9.9994
angles: 90.00 108.67 90.00
Atoms (fractional coordinates):
Rb1 0.7335 0.7500 0.9769
Rb2 0.2665 0.2500 0.0231
Ce1 0.7335 0.7500 0.4356
Ce2 0.2665 0.2500 0.5644
Mg1 0.2514 0.7500 0.3219
Mg2 0.7486 0.2500 0.6781
S1 0.0212 0.5234 0.6904
S2 0.9788 0.0234 0.3096
S3 0.9788 0.4766 0.3096
S4 0.0212 0.9766 0.6904
S5 0.4565 0.7500 0.1793
S6 0.5435 0.2500 0.8207
S7 0.4365 0.7500 0.5718
S8 0.5635 0.2500 0.4282

Results
ΔE_f (raw)   -1.34 eV/atom
D(E_F)   5.74 states/eV/cell

***

- Look up the D(E_F) of the sixth one.
  11.82 states/eV/cell